Material: LaDyMo2O8
Method: DFT, PBE+U
State: relaxed

Summary:
Raw total energy (eV for the cell shown): -92.751

a = 6.830 Å, b = 6.830 Å, c = 6.830 Å
α = 133.88°, β = 133.88°, γ = 67.27°
Atoms (fractional coordinates):
La (0.000, 0.000, 0.000)
Dy (0.250, 0.750, 0.500)
Mo (0.500, 0.500, 0.000)
Mo (0.750, 0.250, 0.500)
O (0.023, 0.076, 0.424)
O (0.249, 0.645, 0.070)
O (0.355, 0.425, 0.604)
O (0.401, 0.977, 0.053)
O (0.575, 0.180, 0.930)
O (0.651, 0.599, 0.576)
O (0.820, 0.751, 0.396)
O (0.924, 0.349, 0.947)